No. 1
# LaSnP2O

Crystalline LaSnP2O at its relaxed geometry (GGA-PBE, Alexandria via LeMat-Bulk).

```
LaSnP2O
1.0
-1.5051 -2.8270 4.7437
3.4494 -4.3208 -1.4806
3.1836 1.8232 2.0966
P Sn O La
2 1 1 1
direct
0.0000 0.5000 0.0000
0.5000 0.0000 0.0000
0.5000 0.5000 0.5000
0.0000 0.0000 0.5000
0.0000 0.0000 0.0000
```

Its density of states at the Fermi level is 5.12 states/eV/f.u. The formation energy (no corrections) comes out at -0.144 eV per atom.

No. 2
# CeSmRe

Crystalline CeSmRe at its relaxed geometry (GGA-PBE, Alexandria via LeMat-Bulk).

```
CeSmRe
1.0
-2.9134 1.8058 0.1523
-1.4371 -2.4778 1.8888
4.3566 3.3785 4.6303
Re Ce Sm
1 1 1
direct
0.6723 0.6723 0.3447
0.2902 0.2902 0.5805
0.0374 0.0374 0.0748
```

Its density of states at the Fermi level is 3.35 states/eV/f.u. The calculation puts the formation enthalpy at 0 K at 0.14 eV/atom.

No. 3
# ScPdO

Crystalline ScPdO at its relaxed geometry (GGA-PBE, Alexandria via LeMat-Bulk).

```
ScPdO
1.0
2.9610 0.0000 0.0000
0.0000 2.9610 0.0000
-1.4805 -1.4805 5.2728
Sc O Pd
1 1 1
direct
0.7604 0.7604 0.5209
0.2389 0.2389 0.4777
0.0007 0.0007 0.0014
```

Its density of states at the Fermi level is 1.13 states/eV/f.u. The formation energy (no corrections) comes out at -1.815 eV per atom.

Results for energy above the lowest structure with this stoichiometry: 43.0 0.0 0.0 (in kJ/mol of atoms, following the order of the records).
Results for size of the total moment: 1.4 0.0 0.0 (in μB per formula unit, following the order of the records).